Record 1
Below is a relaxed structure of AcMgCd3, with properties calculated at the PBE level.

Summary:
DFT formation energy in kJ/mol of atoms: -19.1
Size of the total moment in μB per atom: 0.000

a b c (Å): 6.2160 7.1507 7.1503
angles (deg): 120.00 90.00 90.00
Fractional positions:
Ac: 0.7499 0.6667 0.3334
Ac: 0.2501 0.3333 0.6666
Mg: 0.0000 0.0000 0.0000
Mg: 0.5000 0.0000 0.0000
Cd: 0.7500 0.6098 0.8049
Cd: 0.2500 0.8049 0.6098
Cd: 0.2500 0.3902 0.1951
Cd: 0.7500 0.1951 0.3902
Cd: 0.2500 0.8049 0.1951
Cd: 0.7500 0.1951 0.8049

Record 2
Below is a relaxed structure of Ac4Mg3Cd2, with properties calculated at the PBE level.

Summary:
DFT formation energy in kJ/mol of atoms: -12.8
Size of the total moment in μB per atom: 0.000

a b c (Å): 5.6702 5.6689 10.8272
angles (deg): 90.02 90.00 59.99
Fractional positions:
Ac: 0.6667 0.6665 0.8855
Ac: 0.9999 0.0001 0.3292
Ac: 0.0001 0.9999 0.6708
Ac: 0.3333 0.3335 0.1145
Mg: 0.3333 0.3333 0.5011
Mg: 0.0000 0.0000 0.0000
Mg: 0.6667 0.6667 0.4989
Cd: 0.3334 0.3333 0.7956
Cd: 0.6666 0.6667 0.2044

Record 3
Below is a relaxed structure of Ac12MgCd6, with properties calculated at the PBE level.

Summary:
DFT formation energy in kJ/mol of atoms: -5.1
Size of the total moment in μB per atom: 0.000

a b c (Å): 9.8797 9.8797 9.8797
angles (deg): 110.76 110.76 110.76
Fractional positions:
Ac: 0.8078 0.6593 0.5226
Ac: 0.5226 0.8078 0.6593
Ac: 0.6593 0.5226 0.8078
Ac: 0.1922 0.3407 0.4774
Ac: 0.4774 0.1922 0.3407
Ac: 0.3407 0.4774 0.1922
Ac: 0.9218 0.8314 0.2755
Ac: 0.1686 0.7245 0.0782
Ac: 0.7245 0.0782 0.1686
Ac: 0.0782 0.1686 0.7245
Ac: 0.8314 0.2755 0.9218
Ac: 0.2755 0.9218 0.8314
Mg: 0.0000 0.0000 0.0000
Cd: 0.6395 0.9247 0.4096
Cd: 0.5904 0.3605 0.0753
Cd: 0.0753 0.5904 0.3605
Cd: 0.3605 0.0753 0.5904
Cd: 0.4096 0.6395 0.9247
Cd: 0.9247 0.4096 0.6395

Record 4
Below is a relaxed structure of Ac3Mg3Cd2, with properties calculated at the PBE level.

Summary:
DFT formation energy in kJ/mol of atoms: -13.3
Size of the total moment in μB per atom: 0.000

a b c (Å): 6.2932 9.4558 17.3166
angles (deg): 90.00 90.00 90.00
Fractional positions:
Ac: 0.1165 0.4528 0.3881
Ac: 0.6165 0.0472 0.6119
Ac: 0.8835 0.5472 0.8881
Ac: 0.3835 0.9528 0.1119
Ac: 0.8835 0.5472 0.6119
Ac: 0.3835 0.9528 0.3881
Ac: 0.1165 0.4528 0.1119
Ac: 0.6165 0.0472 0.8881
Ac: 0.6100 0.3185 0.2500
Ac: 0.1100 0.1815 0.7500
Ac: 0.3900 0.6815 0.7500
Ac: 0.8900 0.8185 0.2500
Mg: 0.1082 0.1652 0.2500
Mg: 0.6082 0.3348 0.7500
Mg: 0.8918 0.8348 0.7500
Mg: 0.3918 0.6652 0.2500
Mg: 0.6084 0.3144 0.4656
Mg: 0.1084 0.1856 0.5344
Mg: 0.3916 0.6856 0.9656
Mg: 0.8916 0.8144 0.0344
Mg: 0.3916 0.6856 0.5344
Mg: 0.8916 0.8144 0.4656
Mg: 0.6084 0.3144 0.0344
Mg: 0.1084 0.1856 0.9656
Cd: 0.8763 0.1024 0.3933
Cd: 0.3763 0.3976 0.6067
Cd: 0.1237 0.8976 0.8933
Cd: 0.6237 0.6024 0.1067
Cd: 0.1237 0.8976 0.6067
Cd: 0.6237 0.6024 0.3933
Cd: 0.8763 0.1024 0.1067
Cd: 0.3763 0.3976 0.8933

Record 5
Below is a relaxed structure of Ac4Mg3Cd, with properties calculated at the PBE level.

Summary:
DFT formation energy in kJ/mol of atoms: -12.6
Size of the total moment in μB per atom: 0.000

a b c (Å): 4.1090 4.1090 16.4179
angles (deg): 90.00 90.00 90.00
Fractional positions:
Ac: 0.0000 0.0000 0.8765
Ac: 0.0000 0.0000 0.1235
Ac: 0.0000 0.0000 0.3739
Ac: 0.0000 0.0000 0.6261
Mg: 0.5000 0.5000 0.2506
Mg: 0.5000 0.5000 0.5000
Mg: 0.5000 0.5000 0.7494
Cd: 0.5000 0.5000 0.0000

Record 6
Below is a relaxed structure of AcMgCd4, with properties calculated at the PBE level.

Summary:
DFT formation energy in kJ/mol of atoms: -14.5
Size of the total moment in μB per atom: 0.000

a b c (Å): 6.0548 6.0548 6.0548
angles (deg): 60.00 60.00 60.00
Fractional positions:
Ac: 0.2500 0.2500 0.2500
Mg: 0.0000 0.0000 0.0000
Cd: 0.6251 0.6251 0.1248
Cd: 0.6251 0.1248 0.6251
Cd: 0.6251 0.6251 0.6251
Cd: 0.1248 0.6251 0.6251

Record 7
Below is a relaxed structure of Ac4MgCd2, with properties calculated at the PBE level.

Summary:
DFT formation energy in kJ/mol of atoms: -10.1
Size of the total moment in μB per atom: 0.000

a b c (Å): 5.7340 5.7340 9.7363
angles (deg): 72.87 72.87 60.00
Fractional positions:
Ac: 0.8709 0.8709 0.3874
Ac: 0.1291 0.1291 0.6126
Ac: 0.6185 0.6185 0.1444
Ac: 0.3815 0.3815 0.8556
Mg: 0.0000 0.0000 0.0000
Cd: 0.7448 0.7448 0.7657
Cd: 0.2552 0.2552 0.2343

Record 8
Below is a relaxed structure of Ac2Mg2Cd3, with properties calculated at the PBE level.

Summary:
DFT formation energy in kJ/mol of atoms: -21.3
Size of the total moment in μB per atom: 0.000

a b c (Å): 4.7799 8.1846 10.9109
angles (deg): 90.00 102.65 90.00
Fractional positions:
Ac: 0.1531 0.2500 0.3063
Ac: 0.8469 0.7500 0.6937
Ac: 0.9395 0.2500 0.8790
Ac: 0.0605 0.7500 0.1210
Mg: 0.6919 0.9407 0.3837
Mg: 0.3081 0.0593 0.6163
Mg: 0.3081 0.4407 0.6163
Mg: 0.6919 0.5593 0.3837
Cd: 0.2274 0.7500 0.4548
Cd: 0.7726 0.2500 0.5452
Cd: 0.5602 0.4297 0.1203
Cd: 0.4398 0.5703 0.8797
Cd: 0.4398 0.9297 0.8797
Cd: 0.5602 0.0703 0.1203

Q: Look up the size of the total moment of the third one.
A: 0.000 μB per atom